Record 1
Entry from Alexandria: crystalline Sr2AuSe at its relaxed geometry (PBE-GGA).

Output
Formation energy without anion corrections ... -4.92 eV/f.u.
Total magnetic moment ... 0.00 μB/cell

Cell lengths 4.8546, 4.1688, 11.9212 Å; angles 90.00, 90.00, 90.00 degrees
With the nearest neighbours (Å) after each atom.
Space group Amm2 (No. 38)
One atom of each set of equivalent atoms:
Sr  0.0000  0.0000  0.0000  3 Au 3.15-3.50, 4 Se 3.21
Sr  0.5000  0.0000  0.2586  3 Se 3.18-3.47, 4 Au 3.21
Au  0.0000  0.0000  0.7360  7 Sr 3.15-3.50, 2 Se 3.49
Se  0.5000  0.0000  0.5256  7 Sr 3.18-3.47, 2 Au 3.49

Record 2
Entry from Alexandria: crystalline ZnInIrPt2 at its relaxed geometry (PBE-GGA).

Output
Formation energy from the elements ... 7.63 eV/f.u.
Total magnetic moment ... 0.00 μB/cell

Cell lengths 4.8643, 4.8643, 4.6815 Å; angles 90.00, 90.00, 90.00 degrees
With the nearest neighbours (Å) after each atom.
Space group P4/mmm (No. 123)
One atom of each set of equivalent atoms:
Zn  0.0000  0.0000  0.0000  2 In 2.34
In  0.0000  0.0000  0.5000  2 Zn 2.34, 4 Pt 2.43
Ir  0.5000  0.5000  0.0000  8 Pt 3.38, 4 Zn 3.44
Pt  0.0000  0.5000  0.5000  2 In 2.43

Record 3
Entry from Alexandria: crystalline HfZrCuRu2 at its relaxed geometry (PBE-GGA).

Output
Formation energy from the elements ... 7.25 eV/f.u.
Total magnetic moment ... 0.00 μB/cell

Cell lengths 4.6921, 4.6921, 5.1761 Å; angles 90.00, 90.00, 90.00 degrees
With the nearest neighbours (Å) after each atom.
Space group P4/mmm (No. 123)
One atom of each set of equivalent atoms:
Hf  0.0000  0.0000  0.0000  4 Ru 2.35, 2 Zr 2.59
Zr  0.0000  0.0000  0.5000  2 Hf 2.59
Cu  0.5000  0.5000  0.5000  4 Zr 3.32, 8 Ru 3.49
Ru  0.0000  0.5000  0.0000  2 Hf 2.35

Record 4
Entry from Alexandria: crystalline TcGe at its relaxed geometry (PBE-GGA).

Output
Formation energy from the elements ... 1.56 eV/f.u.
Energy above the lowest structure with this stoichiometry ... 0.959 eV/atom
Total magnetic moment ... 2.99 μB/cell

Cell lengths 7.6862, 7.6862, 7.6862 Å; angles 90.00, 90.00, 90.00 degrees
With the nearest neighbours (Å) after each atom.
Space group I-43m (No. 217)
One atom of each set of equivalent atoms:
Tc  0.1183  0.1183  0.8817  4 Ge 2.48-2.56, 3 Tc 2.57
Ge  0.1957  0.1957  0.1957  4 Tc 2.48-2.56

- The highest total magnetic moment belongs to which entry?
  TcGe